# BaTbY

Crystalline BaTbY at its relaxed geometry (PBE-GGA, the Open Quantum Materials Database).

Properties
calculated total energy	-41.99	eV for the cell shown
total magnetization	0.0084	μB/atom
density	4.60	g cm⁻³
V	556.2	Å³/cell

Cell lengths 8.224, 8.224, 8.224 Å; angles 90.00, 90.00, 90.00 degrees
Space group F-43m (No. 216)
Inequivalent atoms, fractional coordinates:
Ba: 0.000 0.000 0.000
Tb: 0.000 0.000 0.500
Y: 0.250 0.250 0.250

***

# Dy3Er2Lu2Ni2Te2

Crystalline Dy3Er2Lu2Ni2Te2 at its relaxed geometry (PBE-GGA, the Open Quantum Materials Database).

Properties
calculated total energy	-113.55	eV for the cell shown
distance to the lowest polymorph of the same formula	0.017	eV per atom
total magnetization	0.0012	μB/atom
density	9.16	g cm⁻³
V	560.0	Å³/cell

Cell lengths 3.825, 15.426, 9.490 Å; angles 90.00, 90.00, 90.00 degrees
Space group Imm2 (No. 44)
Inequivalent atoms, fractional coordinates:
Dy: 0.000 0.000 0.000
Dy: 0.000 0.314 0.624
Er: 0.000 0.134 0.419
Lu: 0.000 0.354 0.272
Ni: 0.000 0.236 0.930
Te: 0.000 0.000 0.662
Te: 0.000 0.500 0.768

***

# Sc4ZnBiN2

Crystalline Sc4ZnBiN2 at its relaxed geometry (PBE-GGA, the Open Quantum Materials Database).

Properties
calculated total energy	-55.96	eV for the cell shown
total magnetization	0.0309	μB/atom
density	5.95	g cm⁻³
V	134.5	Å³/cell

Cell lengths 3.3110, 3.3110, 14.1666 Å; angles 90.00, 90.00, 120.00 degrees
Space group P-6m2 (No. 187)
Inequivalent atoms, fractional coordinates:
Sc: 0.0000 0.0000 0.1581
Sc: 0.3333 0.6667 0.3254
Zn: 0.3333 0.6667 0.0000
Bi: 0.0000 0.0000 0.5000
N: 0.6667 0.3333 0.2470

***

# DyCuGeS3

Crystalline DyCuGeS3 at its relaxed geometry (PBE-GGA, the Open Quantum Materials Database).

Properties
calculated total energy	-123.26	eV for the cell shown
total magnetization	0.0010	μB/atom
density	5.47	g cm⁻³
V	479.3	Å³/cell

Cell lengths 3.779, 12.411, 10.220 Å; angles 90.00, 90.00, 90.00 degrees
Space group Cmcm (No. 63)
Inequivalent atoms, fractional coordinates:
Dy: 0.000 0.000 0.000
Cu: 0.000 0.475 0.250
Ge: 0.000 0.231 0.750
S: 0.000 0.090 0.250
S: 0.000 0.355 0.077

***

# ZnCoAg2

Crystalline ZnCoAg2 at its relaxed geometry (PBE-GGA, the Open Quantum Materials Database).

Properties
calculated total energy	-52.55	eV for the cell shown
total magnetization	0.2953	μB/atom
formation energy from the elements	0.220	eV/atom
density	9.27	g cm⁻³
V	243.6	Å³/cell

Cell lengths 5.548, 9.746, 4.505 Å; angles 90.00, 90.00, 90.00 degrees
Space group Cmcm (No. 63)
Inequivalent atoms, fractional coordinates:
Zn: 0.000 0.175 0.250
Co: 0.000 0.328 0.750
Ag: 0.248 0.414 0.250

***

# DyYTl2Zn2

Crystalline DyYTl2Zn2 at its relaxed geometry (PBE-GGA, the Open Quantum Materials Database).

Properties
calculated total energy	-20.43	eV for the cell shown
total magnetization	0.0030	μB/atom
density	9.39	g cm⁻³
V	139.9	Å³/cell

Cell lengths 4.6815, 4.6815, 7.3691 Å; angles 90.00, 90.00, 120.00 degrees
Space group P3m1 (No. 156)
Inequivalent atoms, fractional coordinates:
Dy: 0.0000 0.0000 0.0000
Y: 0.0000 0.0000 0.5000
Tl: 0.3333 0.6667 0.7793
Tl: 0.6667 0.3333 0.2792
Zn: 0.3333 0.6667 0.1969
Zn: 0.6667 0.3333 0.6970